No. 1
{
  "formula": "BSb2TeW",
  "functional": "PBE",
  "state": "optimized geometry",
  "raw_formation_energy_ev_per_atom": 1.34,
  "dos_ef_per_ev_cell": 4.5,
  "final_energy_ev_per_atom": -4.866,
  "m_tot_mub_per_cell": 2.30,
  "sg": "P4/mmm",
  "cell": [[4.720, 0.000, 0.000], [0.000, 4.720, 0.000], [0.000, 0.000, 4.730]],
  "species": ["B", "Sb", "Sb", "Te", "W"],
  "frac_coords": [[0.000, 0.000, 0.000], [0.000, 0.500, 0.000], [0.500, 0.000, 0.000], [0.000, 0.000, 0.500], [0.500, 0.500, 0.500]]
}


No. 2
{
  "formula": "KTa2Si",
  "functional": "PBE",
  "state": "optimized geometry",
  "raw_formation_energy_ev_per_atom": 1.25,
  "dos_ef_per_ev_cell": 9.8,
  "final_energy_ev_per_atom": -6.307,
  "m_tot_mub_per_cell": 0.00,
  "sg": "I4_1/amd",
  "cell": [[-2.504, 2.504, 9.351], [2.504, -2.504, 9.351], [2.504, 2.504, -9.351]],
  "species": ["K", "K", "Ta", "Ta", "Ta", "Ta", "Si", "Si"],
  "frac_coords": [[0.375, 0.625, 0.750], [0.625, 0.375, 0.250], [0.000, 0.000, 0.000], [0.000, 0.000, 0.500], [0.000, 0.500, 0.000], [0.500, 0.000, 0.500], [0.125, 0.875, 0.250], [0.875, 0.125, 0.750]]
}


No. 3
{
  "formula": "BeRuO2F",
  "functional": "PBE",
  "state": "optimized geometry",
  "raw_formation_energy_ev_per_atom": -0.94,
  "dos_ef_per_ev_cell": 3.0,
  "final_energy_ev_per_atom": -5.898,
  "m_tot_mub_per_cell": 2.42,
  "sg": "P4/mmm",
  "cell": [[3.725, 0.000, 0.000], [0.000, 3.725, 0.000], [0.000, 0.000, 3.112]],
  "species": ["Be", "Ru", "O", "O", "F"],
  "frac_coords": [[0.000, 0.000, 0.000], [0.500, 0.500, 0.500], [0.000, 0.500, 0.000], [0.500, 0.000, 0.000], [0.000, 0.000, 0.500]]
}


No. 4
{
  "formula": "Na4Y3ThS8",
  "functional": "PBE",
  "state": "optimized geometry",
  "raw_formation_energy_ev_per_atom": -1.79,
  "dos_ef_per_ev_cell": 4.3,
  "final_energy_ev_per_atom": -5.859,
  "m_tot_mub_per_cell": 0.00,
  "sg": "R-3m",
  "cell": [[4.000, 2.310, 6.714], [-4.000, 2.310, 6.714], [0.000, -4.619, 6.714]],
  "species": ["Na", "Na", "Na", "Na", "Y", "Y", "Y", "Th", "S", "S", "S", "S", "S", "S", "S", "S"],
  "frac_coords": [[0.000, 0.000, 0.000], [0.000, 0.500, 0.500], [0.500, 0.000, 0.500], [0.500, 0.500, 0.000], [0.000, 0.000, 0.500], [0.000, 0.500, 0.000], [0.500, 0.000, 0.000], [0.500, 0.500, 0.500], [0.241, 0.745, 0.745], [0.243, 0.243, 0.243], [0.255, 0.255, 0.759], [0.255, 0.759, 0.255], [0.745, 0.241, 0.745], [0.745, 0.745, 0.241], [0.757, 0.757, 0.757], [0.759, 0.255, 0.255]]
}


No. 5
{
  "formula": "Fe6CoGe2",
  "functional": "PBE",
  "state": "optimized geometry",
  "dos_ef_per_ev_cell": 8.8,
  "final_energy_ev_per_atom": -7.286,
  "delta_e_f_ev_per_atom": 0.17,
  "m_tot_mub_per_cell": 15.35,
  "sg": "C2/m",
  "cell": [[3.876, -2.479, 0.000], [3.876, 2.479, 0.000], [-1.821, 0.000, 5.973]],
  "species": ["Fe", "Fe", "Fe", "Fe", "Fe", "Fe", "Co", "Ge", "Ge"],
  "frac_coords": [[0.193, 0.717, 0.801], [0.258, 0.258, 0.012], [0.283, 0.807, 0.199], [0.717, 0.193, 0.801], [0.742, 0.742, 0.988], [0.807, 0.283, 0.199], [0.500, 0.500, 0.500], [0.178, 0.178, 0.588], [0.822, 0.822, 0.412]]
}


No. 6
{
  "formula": "Zr2GePdN",
  "functional": "PBE",
  "state": "optimized geometry",
  "raw_formation_energy_ev_per_atom": 1.21,
  "dos_ef_per_ev_cell": 6.7,
  "final_energy_ev_per_atom": -5.841,
  "m_tot_mub_per_cell": 0.00,
  "sg": "P4/mmm",
  "cell": [[5.094, 0.000, 0.000], [0.000, 5.094, 0.000], [0.000, 0.000, 4.446]],
  "species": ["Zr", "Zr", "Ge", "Pd", "N"],
  "frac_coords": [[0.000, 0.500, 0.000], [0.500, 0.000, 0.000], [0.000, 0.000, 0.500], [0.000, 0.000, 0.000], [0.500, 0.500, 0.500]]
}


No. 7
{
  "formula": "Cs5Zn2S5",
  "functional": "PBE",
  "state": "optimized geometry",
  "raw_formation_energy_ev_per_atom": -0.87,
  "dos_ef_per_ev_cell": 2.9,
  "final_energy_ev_per_atom": -3.158,
  "m_tot_mub_per_cell": 0.86,
  "sg": "C2/m",
  "cell": [[10.168, -2.012, 0.000], [10.168, 2.012, 0.000], [-8.423, 0.000, 11.135]],
  "species": ["Cs", "Cs", "Cs", "Cs", "Cs", "Zn", "Zn", "S", "S", "S", "S", "S"],
  "frac_coords": [[0.000, 0.000, 0.000], [0.342, 0.342, 0.205], [0.389, 0.389, 0.561], [0.611, 0.611, 0.439], [0.658, 0.658, 0.795], [0.317, 0.317, 0.777], [0.683, 0.683, 0.223], [0.000, 0.000, 0.500], [0.186, 0.186, 0.310], [0.338, 0.338, 0.953], [0.662, 0.662, 0.047], [0.814, 0.814, 0.690]]
}


No. 8
{
  "formula": "La4Be5",
  "functional": "PBE",
  "state": "optimized geometry",
  "dos_ef_per_ev_cell": 16.6,
  "final_energy_ev_per_atom": -3.788,
  "delta_e_f_ev_per_atom": 0.47,
  "m_tot_mub_per_cell": 0.00,
  "sg": "P6_3/mcm",
  "cell": [[8.643, 0.000, 0.000], [-4.321, 7.485, 0.000], [0.000, 0.000, 6.339]],
  "species": ["La", "La", "La", "La", "La", "La", "La", "La", "Be", "Be", "Be", "Be", "Be", "Be", "Be", "Be", "Be", "Be"],
  "frac_coords": [[0.000, 0.000, 0.000], [0.000, 0.000, 0.500], [0.000, 0.372, 0.250], [0.000, 0.628, 0.750], [0.372, 0.000, 0.250], [0.372, 0.372, 0.750], [0.628, 0.000, 0.750], [0.628, 0.628, 0.250], [0.000, 0.310, 0.750], [0.000, 0.690, 0.250], [0.310, 0.000, 0.750], [0.310, 0.310, 0.250], [0.333, 0.667, 0.000], [0.333, 0.667, 0.500], [0.667, 0.333, 0.000], [0.667, 0.333, 0.500], [0.690, 0.000, 0.250], [0.690, 0.690, 0.750]]
}


No. 9
{
  "formula": "BeHg3Bi",
  "functional": "PBE",
  "state": "optimized geometry",
  "dos_ef_per_ev_cell": 2.6,
  "final_energy_ev_per_atom": -0.890,
  "delta_e_f_ev_per_atom": 0.81,
  "m_tot_mub_per_cell": 0.00,
  "sg": "Pm-3m",
  "cell": [[6.043, 0.000, 0.000], [0.000, 6.043, 0.000], [0.000, 0.000, 6.043]],
  "species": ["Be", "Hg", "Hg", "Hg", "Bi"],
  "frac_coords": [[0.000, 0.000, 0.000], [0.000, 0.500, 0.500], [0.500, 0.000, 0.500], [0.500, 0.500, 0.000], [0.500, 0.500, 0.500]]
}


No. 10
{
  "formula": "SrCrHg4",
  "functional": "PBE",
  "state": "optimized geometry",
  "dos_ef_per_ev_cell": 3.0,
  "final_energy_ev_per_atom": -1.982,
  "delta_e_f_ev_per_atom": 0.10,
  "m_tot_mub_per_cell": 4.44,
  "sg": "F-43m",
  "cell": [[0.000, 4.247, 4.247], [4.247, 0.000, 4.247], [4.247, 4.247, 0.000]],
  "species": ["Sr", "Cr", "Hg", "Hg", "Hg", "Hg"],
  "frac_coords": [[0.000, 0.000, 0.000], [0.750, 0.750, 0.750], [0.375, 0.375, 0.375], [0.375, 0.375, 0.874], [0.375, 0.874, 0.375], [0.874, 0.375, 0.375]]
}


No. 11
{
  "formula": "SiAsPt3",
  "functional": "PBE",
  "state": "optimized geometry",
  "raw_formation_energy_ev_per_atom": 0.25,
  "dos_ef_per_ev_cell": 1.7,
  "final_energy_ev_per_atom": -5.386,
  "m_tot_mub_per_cell": 0.00,
  "sg": "Pm-3m",
  "cell": [[4.546, 0.000, 0.000], [0.000, 4.546, 0.000], [0.000, 0.000, 4.546]],
  "species": ["Si", "As", "Pt", "Pt", "Pt"],
  "frac_coords": [[0.000, 0.000, 0.000], [0.500, 0.500, 0.500], [0.000, 0.000, 0.500], [0.000, 0.500, 0.000], [0.500, 0.000, 0.000]]
}